Record 1
An optimized crystal structure of Be2TlCoTc, computed with PBE.

Cell: 4.345 4.345 4.499 Å, 90.00 90.00 90.00°
Sites, in units of the cell vectors:
Be (0.000, 0.500, 0.000)
Be (0.500, 0.000, 0.000)
Tl (0.000, 0.000, 0.500)
Co (0.500, 0.500, 0.500)
Tc (0.500, 0.500, 0.000)

Results
N(E_F) (states/eV/cell): 5.1
Calculated formation energy (eV/f.u.): 5.20
Spin magnetization (μB per formula unit): 1.27
Symmetry: No. 123

Record 2
An optimized crystal structure of BeCoTcW, computed with PBE.

Cell: 5.881 5.881 5.881 Å, 90.00 90.00 90.00°
Sites, in units of the cell vectors:
Be (0.000, 0.000, 0.000)
Be (0.000, 0.500, 0.500)
Be (0.500, 0.000, 0.500)
Be (0.500, 0.500, 0.000)
Co (0.250, 0.250, 0.750)
Co (0.250, 0.750, 0.250)
Co (0.750, 0.250, 0.250)
Co (0.750, 0.750, 0.750)
Tc (0.250, 0.250, 0.250)
Tc (0.250, 0.750, 0.750)
Tc (0.750, 0.250, 0.750)
Tc (0.750, 0.750, 0.250)
W (0.000, 0.000, 0.500)
W (0.000, 0.500, 0.000)
W (0.500, 0.000, 0.000)
W (0.500, 0.500, 0.500)

Results
N(E_F) (states/eV/cell): 2.5
Calculated formation energy (eV/f.u.): -0.18
Spin magnetization (μB per formula unit): 0.00
Symmetry: No. 216

Record 3
An optimized crystal structure of BeCo2Te, computed with PBE.

Cell: 3.564 3.564 7.817 Å, 90.00 90.00 90.00°
Sites, in units of the cell vectors:
Be (0.000, 0.000, 0.000)
Be (0.500, 0.500, 0.500)
Co (0.000, 0.000, 0.500)
Co (0.000, 0.500, 0.750)
Co (0.500, 0.000, 0.250)
Co (0.500, 0.500, 0.000)
Te (0.000, 0.500, 0.250)
Te (0.500, 0.000, 0.750)

Results
N(E_F) (states/eV/cell): 8.3
Formation energy from raw total energies (kJ/mol of formula units): 89
Spin magnetization (μB per formula unit): 0.63
Symmetry: No. 119
Offset from the most stable computed form (eV per atom): 0.053

Question: The lowest N(E_F) belongs to which entry?
Answer: BeCoTcW